(1)
Compound: Ac2Si3Ir4Pd
Source: Alexandria
Functional: PBE
Structure: relaxed

Unit cell a=4.2448 b=4.2448 c=10.5180 alpha=90.00 beta=90.00 gamma=90.00
With the nearest neighbours (Å) after each atom.
Fractional positions:
Ac 0.0000 0.5000 0.2448  8 Ir 3.17-3.42, 6 Si 3.32-3.34, 2 Pd 3.34
Ac 0.5000 0.0000 0.7552  8 Ir 3.17-3.42, 6 Si 3.32-3.34, 2 Pd 3.34
Si 0.0000 0.0000 0.0000  4 Ir 2.64
Si 0.0000 0.5000 0.6199  5 Ir 2.43-2.47
Si 0.5000 0.0000 0.3801  5 Ir 2.43-2.47
Ir 0.0000 0.0000 0.5000  4 Si 2.47
Ir 0.0000 0.5000 0.8510  3 Si 2.43-2.64, 2 Pd 2.64
Ir 0.5000 0.0000 0.1490  3 Si 2.43-2.64, 2 Pd 2.64
Ir 0.5000 0.5000 0.5000  4 Si 2.47
Pd 0.5000 0.5000 0.0000  4 Ir 2.64

The electronic total energy comes out at -7.310 eV per atom. The uncorrected formation energy is -770 kJ/mol of formula units. Its theoretical density is 12.39 g/cm3.

(2)
Compound: SrSmTlBi
Source: Alexandria
Functional: PBE
Structure: relaxed

Unit cell a=5.6736 b=5.6736 c=5.6736 alpha=60.00 beta=60.00 gamma=60.00
With the nearest neighbours (Å) after each atom.
Fractional positions:
Sr 0.0000 0.0000 0.0000  4 Tl 3.47, 4 Bi 3.47
Sm 0.5000 0.5000 0.5000  4 Tl 3.47, 4 Bi 3.47
Tl 0.2500 0.2500 0.2500  4 Sm 3.47, 4 Sr 3.47
Bi 0.7500 0.7500 0.7500  4 Sr 3.47, 4 Sm 3.47

The electronic total energy comes out at -3.623 eV per atom. Its theoretical density is 8.38 g/cm3. Its formation energy is -461 meV/atom.

(3)
Compound: RbFeSn2Ge
Source: Alexandria
Functional: PBE
Structure: relaxed

Unit cell a=4.9575 b=4.9575 c=5.6236 alpha=90.00 beta=90.00 gamma=90.00
With the nearest neighbours (Å) after each atom.
Fractional positions:
Rb 0.0000 0.0000 0.0000  2 Fe 2.81
Fe 0.0000 0.0000 0.5000  4 Sn 2.48
Sn 0.0000 0.5000 0.5000  2 Fe 2.48
Sn 0.5000 0.0000 0.5000  2 Fe 2.48
Ge 0.5000 0.5000 0.0000  4 Rb 3.51, 8 Sn 3.75

The electronic total energy comes out at -3.865 eV per atom. Its theoretical density is 5.42 g/cm3. Its formation energy is 546 meV/atom.

(4)
Compound: BaSbPt2
Source: Alexandria
Functional: PBE
Structure: relaxed

Unit cell a=5.1179 b=5.1179 c=5.1179 alpha=60.00 beta=60.00 gamma=60.00
With the nearest neighbours (Å) after each atom.
Fractional positions:
Ba 0.0000 0.0000 0.0000  4 Sb 3.13, 4 Pt 3.13
Sb 0.7500 0.7500 0.7500  4 Pt 3.13, 4 Ba 3.13
Pt 0.2500 0.2500 0.2500  4 Pt 3.13, 4 Ba 3.13
Pt 0.5000 0.5000 0.5000  4 Sb 3.13, 4 Pt 3.13

The electronic total energy comes out at -4.534 eV per atom. The uncorrected formation energy is -1 kJ/mol of formula units. Its theoretical density is 11.37 g/cm3.

(5)
Compound: La2GeTe
Source: Alexandria
Functional: PBE
Structure: relaxed

Unit cell a=8.1757 b=8.1757 c=8.1757 alpha=31.51 beta=31.51 gamma=31.51
With the nearest neighbours (Å) after each atom.
Fractional positions:
La 0.0000 0.0000 0.0000  3 Ge 3.07, 3 Te 3.34
La 0.1871 0.1871 0.1871  3 Ge 3.09, 3 Te 3.38
Ge 0.5943 0.5943 0.5943  6 La 3.07-3.09
Te 0.4256 0.4256 0.4256  6 La 3.34-3.38

The electronic total energy comes out at -5.621 eV per atom. The uncorrected formation energy is -470 kJ/mol of formula units. As for the energy relative to the lowest polymorph listed for this composition: 63 meV per atom. Its theoretical density is 5.99 g/cm3.

(6)
Compound: Al2InS4
Source: Alexandria
Functional: PBE
Structure: relaxed

Unit cell a=6.1311 b=6.1311 c=6.1311 alpha=103.85 beta=103.85 gamma=121.41
With the nearest neighbours (Å) after each atom.
Fractional positions:
Al 0.2500 0.7500 0.5000  4 S 2.28
Al 0.7500 0.2500 0.5000  4 S 2.28
In 0.0000 0.0000 0.0000  4 S 2.82
S 0.1588 0.6621 0.8208  2 Al 2.28
S 0.3379 0.1588 0.4967  2 Al 2.28
S 0.6621 0.8412 0.5033  2 Al 2.28
S 0.8412 0.3379 0.1792  2 Al 2.28

The electronic total energy comes out at -4.612 eV per atom. The uncorrected formation energy is -535 kJ/mol of formula units. As for the energy relative to the lowest polymorph listed for this composition: 0 meV per atom. Its theoretical density is 2.88 g/cm3.